The following is a PBE calculation of crystalline Tl2Hg5Au3 at its relaxed geometry, from the Alexandria database.

Computed properties:
Offset from the most stable computed form: 0.0217 eV/atom
Energy: -15.84 eV per cell
Energy relative to the elements: 0.02 eV/atom

Cell lengths 4.3237, 4.3237, 14.0767 Å; angles 90.00, 90.00, 90.00 degrees
Sites, in units of the cell vectors:
Hg (0.0000, 0.5000, 0.1629)
Hg (0.0000, 0.0000, 0.0000)
Hg (0.5000, 0.0000, 0.8371)
Hg (0.5000, 0.5000, 0.0000)
Hg (0.5000, 0.5000, 0.5000)
Au (0.5000, 0.0000, 0.6388)
Au (0.0000, 0.0000, 0.5000)
Au (0.0000, 0.5000, 0.3612)
Tl (0.5000, 0.0000, 0.2935)
Tl (0.0000, 0.5000, 0.7065)